Entry from the Alexandria database: a relaxed structure of Ca2ScCl2O2 (PBE).

```
Ca2ScCl2O2
1.0
-3.821 -1.500 0.644
0.929 -3.346 -2.283
3.792 -0.993 6.779
Cl Sc Ca O
2 1 2 2
direct
0.184 0.184 0.368
0.816 0.816 0.632
0.000 0.000 0.000
0.393 0.393 0.786
0.607 0.607 0.214
0.000 0.500 0.000
0.500 0.000 0.000
```


Entry from the Alexandria database: a relaxed structure of Mn2BeGa (PBE).

```
Mn2BeGa
1.0
2.849 0.000 0.000
0.000 2.849 0.000
0.000 0.000 5.638
Ga Mn Be
1 2 1
direct
0.500 0.500 0.500
0.000 0.000 0.224
0.000 0.000 0.776
0.500 0.500 0.000
```

## Properties
formation energy	-0.0703	eV/atom


Entry from the Alexandria database: a relaxed structure of Bi2PbN (PBE).

```
Bi2PbN
1.0
3.393 0.004 -0.570
0.472 6.290 2.891
0.523 7.134 13.300
Bi Pb N
4 2 2
direct
0.587 0.576 0.182
0.078 0.096 0.165
0.413 0.424 0.818
0.922 0.904 0.835
0.757 0.682 0.515
0.243 0.318 0.485
0.469 0.925 0.932
0.531 0.075 0.068
```

## Properties
offset from the most stable computed form	0	meV per atom


Entry from the Alexandria database: a relaxed structure of NdTlZnCd (PBE).

```
NdTlZnCd
1.0
-4.316 0.575 2.783
-4.166 -2.862 -1.074
-1.487 -3.723 3.260
Nd Cd Zn Tl
1 1 1 1
direct
0.250 0.250 0.250
0.750 0.750 0.750
0.000 0.000 0.000
0.500 0.500 0.500
```

## Properties
formation energy	-0.2192	eV/atom


Entry from the Alexandria database: a relaxed structure of LiSc2TeO6 (PBE).

```
LiSc2TeO6
1.0
-2.533 2.469 4.116
-2.018 -2.934 4.095
2.684 0.237 5.088
Te Sc O Li
1 2 6 1
direct
0.319 0.319 0.042
0.525 0.525 0.426
0.017 0.017 0.948
0.395 0.706 0.761
0.917 0.613 0.234
0.236 0.917 0.234
0.137 0.395 0.761
0.706 0.137 0.761
0.613 0.236 0.234
0.795 0.795 0.615
```


Entry from the Alexandria database: a relaxed structure of Dy2MgAu6 (PBE).

```
Dy2MgAu6
1.0
-0.606 -5.057 1.007
8.241 -0.244 3.779
-7.311 1.867 5.032
Mg Au Dy
2 12 4
direct
0.250 0.250 0.750
0.750 0.750 0.250
0.004 0.168 0.000
0.754 0.089 0.589
0.504 0.668 0.500
0.996 0.500 0.332
0.004 0.500 0.668
0.254 0.589 0.089
0.746 0.411 0.911
0.496 0.332 0.500
0.504 0.000 0.168
0.496 0.000 0.832
0.246 0.911 0.411
0.996 0.832 0.000
0.000 0.163 0.337
0.500 0.663 0.837
0.500 0.337 0.163
0.000 0.837 0.663
```

## Properties
formation energy	-0.6819	eV/atom
offset from the most stable computed form	0	meV per atom


Number 1: raw total energy -5.913 eV per atom. Number 2: raw total energy -6.343 eV per atom. Number 3: raw total energy -4.567 eV per atom. Number 4: raw total energy -2.550 eV per atom. Number 5: raw total energy -7.106 eV per atom. Number 6: raw total energy -4.067 eV per atom.